{"formula": "K3Sr2NbO6", "functional": "PBE-GGA", "state": "optimized geometry", "energy_ev_per_atom": -6.187, "raw_formation_energy_ev_per_atom": -2.31, "dos_ef_per_ev_atom": 0.000, "cell": [[3.080, -5.337, 0.000], [3.080, 5.337, 0.000], [-2.069, 0.000, 6.182]], "species": ["K", "K", "K", "Sr", "Sr", "Nb", "O", "O", "O", "O", "O", "O"], "fractional_positions": [[0.000, 0.000, 0.000], [0.338, 0.662, 0.000], [0.662, 0.338, 0.000], [0.167, 0.833, 0.500], [0.833, 0.167, 0.500], [0.500, 0.500, 0.500], [0.159, 0.437, 0.311], [0.284, 0.284, 0.686], [0.437, 0.159, 0.311], [0.563, 0.841, 0.689], [0.716, 0.716, 0.314], [0.841, 0.563, 0.689]]}



{"formula": "KSr2Nb5O15", "functional": "PBE-GGA", "state": "optimized geometry", "energy_ev_per_atom": -8.297, "raw_formation_energy_ev_per_atom": -2.68, "dos_ef_per_ev_atom": 0.000, "cell": [[8.937, -8.975, 0.000], [8.937, 8.975, 0.000], [0.000, 0.000, 4.089]], "species": ["K", "K", "Sr", "Sr", "Sr", "Sr", "Nb", "Nb", "Nb", "Nb", "Nb", "Nb", "Nb", "Nb", "Nb", "Nb", "O", "O", "O", "O", "O", "O", "O", "O", "O", "O", "O", "O", "O", "O", "O", "O", "O", "O", "O", "O", "O", "O", "O", "O", "O", "O", "O", "O", "O", "O"], "fractional_positions": [[0.169, 0.831, 0.000], [0.831, 0.169, 0.000], [0.000, 0.500, 0.002], [0.333, 0.333, 0.038], [0.500, 0.000, 0.002], [0.667, 0.667, 0.038], [0.000, 0.000, 0.518], [0.078, 0.288, 0.507], [0.210, 0.577, 0.507], [0.288, 0.078, 0.507], [0.423, 0.790, 0.507], [0.500, 0.500, 0.517], [0.577, 0.210, 0.507], [0.712, 0.922, 0.507], [0.790, 0.423, 0.507], [0.922, 0.712, 0.507], [0.000, 0.000, 0.966], [0.001, 0.157, 0.460], [0.065, 0.637, 0.462], [0.084, 0.300, 0.964], [0.137, 0.435, 0.450], [0.157, 0.001, 0.460], [0.202, 0.574, 0.963], [0.227, 0.227, 0.467], [0.286, 0.714, 0.463], [0.300, 0.084, 0.964], [0.343, 0.491, 0.458], [0.363, 0.935, 0.462], [0.426, 0.798, 0.963], [0.435, 0.137, 0.450], [0.491, 0.343, 0.458], [0.500, 0.500, 0.970], [0.509, 0.657, 0.458], [0.565, 0.863, 0.450], [0.574, 0.202, 0.963], [0.637, 0.065, 0.462], [0.657, 0.509, 0.458], [0.700, 0.916, 0.964], [0.714, 0.286, 0.463], [0.773, 0.773, 0.467], [0.798, 0.426, 0.963], [0.843, 0.999, 0.460], [0.863, 0.565, 0.450], [0.916, 0.700, 0.964], [0.935, 0.363, 0.462], [0.999, 0.843, 0.460]]}



{"formula": "KSrNb2O7", "functional": "PBE-GGA", "state": "optimized geometry", "energy_ev_per_atom": -7.684, "raw_formation_energy_ev_per_atom": -2.45, "dos_ef_per_ev_atom": 0.372, "cell": [[-1.992, 1.992, 11.607], [1.992, -1.992, 11.607], [1.992, 1.992, -11.607]], "species": ["K", "Sr", "Nb", "Nb", "O", "O", "O", "O", "O", "O", "O"], "fractional_positions": [[0.000, 0.000, 0.000], [0.250, 0.750, 0.500], [0.652, 0.152, 0.500], [0.848, 0.348, 0.500], [0.168, 0.168, 0.000], [0.331, 0.331, 0.000], [0.574, 0.074, 0.500], [0.669, 0.669, 0.000], [0.750, 0.250, 0.500], [0.832, 0.832, 0.000], [0.926, 0.426, 0.500]]}



{"formula": "K2TaNb3O12", "functional": "PBE-GGA", "state": "optimized geometry", "energy_ev_per_atom": -8.057, "raw_formation_energy_ev_per_atom": -2.29, "dos_ef_per_ev_atom": 0.660, "cell": [[3.763, 2.173, 6.125], [-3.763, 2.173, 6.125], [0.000, -4.345, 6.125]], "species": ["K", "K", "Ta", "Nb", "Nb", "Nb", "O", "O", "O", "O", "O", "O", "O", "O", "O", "O", "O", "O"], "fractional_positions": [[0.128, 0.128, 0.128], [0.872, 0.872, 0.872], [0.500, 0.500, 0.500], [0.000, 0.500, 0.500], [0.500, 0.000, 0.500], [0.500, 0.500, 0.000], [0.186, 0.186, 0.563], [0.186, 0.563, 0.186], [0.188, 0.563, 0.563], [0.437, 0.437, 0.812], [0.437, 0.812, 0.437], [0.437, 0.814, 0.814], [0.563, 0.186, 0.186], [0.563, 0.188, 0.563], [0.563, 0.563, 0.188], [0.812, 0.437, 0.437], [0.814, 0.437, 0.814], [0.814, 0.814, 0.437]]}



{"formula": "KTaNb2O8", "functional": "PBE-GGA", "state": "optimized geometry", "energy_ev_per_atom": -8.620, "raw_formation_energy_ev_per_atom": -2.56, "dos_ef_per_ev_atom": 0.000, "cell": [[4.482, -3.126, 0.000], [4.482, 3.126, 0.000], [-1.639, 0.000, 7.044]], "species": ["K", "Ta", "Nb", "Nb", "O", "O", "O", "O", "O", "O", "O", "O"], "fractional_positions": [[0.000, 0.000, 0.000], [0.000, 0.000, 0.500], [0.419, 0.419, 0.774], [0.581, 0.581, 0.226], [0.208, 0.752, 0.689], [0.223, 0.223, 0.604], [0.248, 0.792, 0.311], [0.358, 0.358, 0.004], [0.642, 0.642, 0.996], [0.752, 0.208, 0.689], [0.777, 0.777, 0.396], [0.792, 0.248, 0.311]]}



{"formula": "K2TaNbO6", "functional": "PBE-GGA", "state": "optimized geometry", "energy_ev_per_atom": -7.934, "raw_formation_energy_ev_per_atom": -2.55, "dos_ef_per_ev_atom": 0.000, "cell": [[0.000, 4.044, 4.044], [4.044, 0.000, 4.044], [4.044, 4.044, 0.000]], "species": ["K", "K", "Ta", "Nb", "O", "O", "O", "O", "O", "O"], "fractional_positions": [[0.250, 0.250, 0.250], [0.750, 0.750, 0.750], [0.000, 0.000, 0.000], [0.500, 0.500, 0.500], [0.249, 0.249, 0.751], [0.249, 0.751, 0.249], [0.249, 0.751, 0.751], [0.751, 0.249, 0.249], [0.751, 0.249, 0.751], [0.751, 0.751, 0.249]]}



{"formula": "KTa2NbO8", "functional": "PBE-GGA", "state": "optimized geometry", "energy_ev_per_atom": -8.823, "raw_formation_energy_ev_per_atom": -2.61, "dos_ef_per_ev_atom": 0.000, "cell": [[4.477, -3.132, 0.000], [4.477, 3.132, 0.000], [-1.835, 0.000, 7.037]], "species": ["K", "Ta", "Ta", "Nb", "O", "O", "O", "O", "O", "O", "O", "O"], "fractional_positions": [[0.000, 0.000, 0.000], [0.427, 0.427, 0.777], [0.573, 0.573, 0.223], [0.000, 0.000, 0.500], [0.213, 0.751, 0.689], [0.225, 0.225, 0.608], [0.249, 0.787, 0.311], [0.361, 0.361, 0.004], [0.639, 0.639, 0.996], [0.751, 0.213, 0.689], [0.775, 0.775, 0.392], [0.787, 0.249, 0.311]]}



{"formula": "K2TaNbO6", "functional": "PBE-GGA", "state": "optimized geometry", "energy_ev_per_atom": -7.934, "raw_formation_energy_ev_per_atom": -2.55, "cell": [[4.043, 0.000, 0.000], [0.000, 4.043, 0.000], [0.000, 0.000, 8.088]], "species": ["K", "K", "Ta", "Nb", "O", "O", "O", "O", "O", "O"], "fractional_positions": [[0.000, 0.000, 0.250], [0.000, 0.000, 0.750], [0.500, 0.500, 0.000], [0.500, 0.500, 0.500], [0.000, 0.500, 0.000], [0.000, 0.500, 0.500], [0.500, 0.000, 0.000], [0.500, 0.000, 0.500], [0.500, 0.500, 0.249], [0.500, 0.500, 0.751]]}



{"formula": "K2TaNbO6", "functional": "PBE-GGA", "state": "optimized geometry", "energy_ev_per_atom": -7.938, "raw_formation_energy_ev_per_atom": -2.55, "dos_ef_per_ev_atom": 0.000, "cell": [[5.698, 0.000, 0.000], [0.000, 5.698, 0.000], [0.000, 0.000, 4.123]], "species": ["K", "K", "Ta", "Nb", "O", "O", "O", "O", "O", "O"], "fractional_positions": [[0.000, 0.500, 0.000], [0.500, 0.000, 0.000], [0.000, 0.000, 0.489], [0.500, 0.500, 0.483], [0.000, 0.000, 0.027], [0.249, 0.249, 0.522], [0.249, 0.751, 0.522], [0.500, 0.500, 0.027], [0.751, 0.249, 0.522], [0.751, 0.751, 0.522]]}



{"formula": "K2TbNb5O15", "functional": "PBE-GGA", "state": "optimized geometry", "energy_ev_per_atom": -8.343, "raw_formation_energy_ev_per_atom": -2.62, "dos_ef_per_ev_atom": 0.000, "cell": [[12.751, 0.000, 0.000], [0.000, 12.751, 0.000], [0.000, 0.000, 3.958]], "species": ["K", "K", "K", "K", "Tb", "Tb", "Nb", "Nb", "Nb", "Nb", "Nb", "Nb", "Nb", "Nb", "Nb", "Nb", "O", "O", "O", "O", "O", "O", "O", "O", "O", "O", "O", "O", "O", "O", "O", "O", "O", "O", "O", "O", "O", "O", "O", "O", "O", "O", "O", "O", "O", "O"], "fractional_positions": [[0.171, 0.329, 0.000], [0.329, 0.829, 0.000], [0.671, 0.171, 0.000], [0.829, 0.671, 0.000], [0.000, 0.000, 0.000], [0.500, 0.500, 0.000], [0.000, 0.500, 0.500], [0.076, 0.788, 0.500], [0.212, 0.076, 0.500], [0.288, 0.576, 0.500], [0.424, 0.288, 0.500], [0.500, 0.000, 0.500], [0.576, 0.712, 0.500], [0.712, 0.424, 0.500], [0.788, 0.924, 0.500], [0.924, 0.212, 0.500], [0.000, 0.500, 0.000], [0.001, 0.342, 0.500], [0.059, 0.131, 0.500], [0.078, 0.814, 0.000], [0.131, 0.941, 0.500], [0.158, 0.499, 0.500], [0.186, 0.078, 0.000], [0.217, 0.717, 0.500], [0.283, 0.217, 0.500], [0.314, 0.578, 0.000], [0.342, 0.999, 0.500], [0.369, 0.441, 0.500], [0.422, 0.314, 0.000], [0.441, 0.631, 0.500], [0.499, 0.842, 0.500], [0.500, 0.000, 0.000], [0.501, 0.158, 0.500], [0.559, 0.369, 0.500], [0.578, 0.686, 0.000], [0.631, 0.559, 0.500], [0.658, 0.001, 0.500], [0.686, 0.422, 0.000], [0.717, 0.783, 0.500], [0.783, 0.283, 0.500], [0.814, 0.922, 0.000], [0.842, 0.501, 0.500], [0.869, 0.059, 0.500], [0.922, 0.186, 0.000], [0.941, 0.869, 0.500], [0.999, 0.658, 0.500]]}



{"formula": "K2TbNbO6", "functional": "PBE-GGA", "state": "optimized geometry", "energy_ev_per_atom": -6.880, "raw_formation_energy_ev_per_atom": -2.22, "dos_ef_per_ev_atom": 0.469, "cell": [[0.000, 4.293, 4.293], [4.293, 0.000, 4.293], [4.293, 4.293, 0.000]], "species": ["K", "K", "Tb", "Nb", "O", "O", "O", "O", "O", "O"], "fractional_positions": [[0.250, 0.250, 0.250], [0.750, 0.750, 0.750], [0.000, 0.000, 0.000], [0.500, 0.500, 0.500], [0.266, 0.266, 0.734], [0.266, 0.734, 0.266], [0.266, 0.734, 0.734], [0.734, 0.266, 0.266], [0.734, 0.266, 0.734], [0.734, 0.734, 0.266]]}



{"formula": "KNbTcO6", "functional": "PBE-GGA", "state": "optimized geometry", "energy_ev_per_atom": -7.583, "raw_formation_energy_ev_per_atom": -1.89, "dos_ef_per_ev_atom": 0.074, "cell": [[5.267, 0.000, 0.000], [-2.413, 4.725, 0.000], [-0.080, -0.233, 5.932]], "species": ["K", "Nb", "Tc", "O", "O", "O", "O", "O", "O"], "fractional_positions": [[0.000, 0.000, 0.000], [0.342, 0.684, 0.451], [0.666, 0.329, 0.536], [0.398, 0.020, 0.685], [0.420, 0.397, 0.305], [0.577, 0.589, 0.697], [0.618, 0.015, 0.312], [0.991, 0.621, 0.320], [0.992, 0.394, 0.677]]}



{"formula": "K2NbTcO6", "functional": "PBE-GGA", "state": "optimized geometry", "energy_ev_per_atom": -7.226, "raw_formation_energy_ev_per_atom": -1.99, "dos_ef_per_ev_atom": 0.401, "cell": [[5.653, 0.000, 0.000], [0.000, 5.653, 0.000], [0.000, 0.000, 3.992]], "species": ["K", "K", "Nb", "Tc", "O", "O", "O", "O", "O", "O"], "fractional_positions": [[0.000, 0.500, 0.000], [0.500, 0.000, 0.000], [0.000, 0.000, 0.500], [0.500, 0.500, 0.500], [0.000, 0.000, 0.000], [0.254, 0.254, 0.500], [0.254, 0.746, 0.500], [0.500, 0.500, 0.000], [0.746, 0.254, 0.500], [0.746, 0.746, 0.500]]}



{"formula": "K2NbTc3O12", "functional": "PBE-GGA", "state": "optimized geometry", "energy_ev_per_atom": -7.381, "raw_formation_energy_ev_per_atom": -1.67, "dos_ef_per_ev_atom": 0.316, "cell": [[3.637, 2.100, 6.064], [-3.637, 2.100, 6.064], [0.000, -4.200, 6.064]], "species": ["K", "K", "Nb", "Tc", "Tc", "Tc", "O", "O", "O", "O", "O", "O", "O", "O", "O", "O", "O", "O"], "fractional_positions": [[0.134, 0.134, 0.134], [0.866, 0.866, 0.866], [0.500, 0.500, 0.500], [0.000, 0.500, 0.500], [0.500, 0.000, 0.500], [0.500, 0.500, 0.000], [0.175, 0.568, 0.568], [0.193, 0.193, 0.566], [0.193, 0.566, 0.193], [0.432, 0.432, 0.825], [0.432, 0.825, 0.432], [0.434, 0.807, 0.807], [0.566, 0.193, 0.193], [0.568, 0.175, 0.568], [0.568, 0.568, 0.175], [0.807, 0.434, 0.807], [0.807, 0.807, 0.434], [0.825, 0.432, 0.432]]}



{"formula": "KNbTe2O8", "functional": "PBE-GGA", "state": "optimized geometry", "energy_ev_per_atom": -6.084, "raw_formation_energy_ev_per_atom": -1.32, "dos_ef_per_ev_atom": 0.381, "cell": [[5.817, -2.813, 0.000], [5.817, 2.813, 0.000], [-1.966, 0.000, 6.026]], "species": ["K", "Nb", "Te", "Te", "O", "O", "O", "O", "O", "O", "O", "O"], "fractional_positions": [[0.000, 0.000, 0.000], [0.500, 0.500, 0.500], [0.215, 0.215, 0.659], [0.785, 0.785, 0.341], [0.141, 0.648, 0.300], [0.183, 0.183, 0.358], [0.352, 0.859, 0.700], [0.403, 0.403, 0.706], [0.597, 0.597, 0.294], [0.648, 0.141, 0.300], [0.817, 0.817, 0.642], [0.859, 0.352, 0.700]]}



{"formula": "KNbTeO6", "functional": "PBE-GGA", "state": "optimized geometry", "energy_ev_per_atom": -6.684, "raw_formation_energy_ev_per_atom": -1.79, "dos_ef_per_ev_atom": 0.000, "cell": [[5.387, 0.000, 0.000], [-2.694, 4.666, 0.000], [0.000, 0.000, 11.950]], "species": ["K", "K", "Nb", "Nb", "Te", "Te", "O", "O", "O", "O", "O", "O", "O", "O", "O", "O", "O", "O"], "fractional_positions": [[0.000, 0.000, 0.000], [0.000, 0.000, 0.500], [0.333, 0.667, 0.250], [0.667, 0.333, 0.750], [0.333, 0.667, 0.750], [0.667, 0.333, 0.250], [0.009, 0.397, 0.657], [0.009, 0.612, 0.843], [0.388, 0.397, 0.843], [0.388, 0.991, 0.657], [0.397, 0.009, 0.157], [0.397, 0.388, 0.343], [0.603, 0.612, 0.657], [0.603, 0.991, 0.843], [0.612, 0.009, 0.343], [0.612, 0.603, 0.157], [0.991, 0.388, 0.157], [0.991, 0.603, 0.343]]}



{"formula": "K2ThNb3O12", "functional": "PBE-GGA", "state": "optimized geometry", "energy_ev_per_atom": -7.788, "raw_formation_energy_ev_per_atom": -2.27, "dos_ef_per_ev_atom": 0.685, "cell": [[3.868, 2.233, 6.256], [-3.868, 2.233, 6.256], [0.000, -4.466, 6.256]], "species": ["K", "K", "Th", "Nb", "Nb", "Nb", "O", "O", "O", "O", "O", "O", "O", "O", "O", "O", "O", "O"], "fractional_positions": [[0.151, 0.151, 0.151], [0.849, 0.849, 0.849], [0.500, 0.500, 0.500], [0.000, 0.500, 0.500], [0.500, 0.000, 0.500], [0.500, 0.500, 0.000], [0.141, 0.588, 0.588], [0.204, 0.204, 0.566], [0.204, 0.566, 0.204], [0.412, 0.412, 0.859], [0.412, 0.859, 0.412], [0.434, 0.796, 0.796], [0.566, 0.204, 0.204], [0.588, 0.141, 0.588], [0.588, 0.588, 0.141], [0.796, 0.434, 0.796], [0.796, 0.796, 0.434], [0.859, 0.412, 0.412]]}